No. 1
Below is a relaxed structure of VCr2GeSe6, with properties calculated at the PBE level.

Cell and atoms, written as POSCAR:
```
VCr2GeSe6
1.0
6.481 0.000 0.001
3.241 5.613 0.001
3.241 1.872 5.762
Cr Se Ge V
2 6 1 1
direct
0.510 0.510 0.470
0.014 0.014 0.959
0.105 0.415 0.743
0.629 0.227 0.252
0.737 0.105 0.743
0.227 0.892 0.252
0.892 0.629 0.252
0.415 0.737 0.743
0.314 0.314 0.058
0.819 0.819 0.543
```

## Properties
Space-group type: R3 (146)
Total magnetization, μB/atom: 0.728
Energy relative to the elements, uncorrected, eV per atom: -0.444
Fermi-level density of states, states/eV per cell: 5.88
Raw total energy, eV/cell: -58.3
Theoretical density, g cm⁻³: 5.56

=====

No. 2
Below is a relaxed structure of ZrCr2GeSe6, with properties calculated at the PBE level.

Cell and atoms, written as POSCAR:
```
ZrCr2GeSe6
1.0
6.635 -0.001 0.000
3.317 5.741 0.004
3.316 1.918 5.923
Se Cr Zr Ge
6 2 1 1
direct
0.740 0.116 0.749
0.395 0.740 0.748
0.244 0.887 0.244
0.888 0.624 0.244
0.625 0.245 0.243
0.117 0.395 0.748
0.509 0.507 0.476
0.008 0.007 0.979
0.820 0.823 0.537
0.317 0.318 0.046
```

## Properties
Space-group type: P1 (1)
Total magnetization, μB/atom: 0.604
Energy relative to the elements, uncorrected, eV per atom: -0.604
Fermi-level density of states, states/eV per cell: 2.93
Raw total energy, eV/cell: -59.4
Theoretical density, g cm⁻³: 5.46

=====

No. 3
Below is a relaxed structure of CrSiGe3, with properties calculated at the PBE level.

Cell and atoms, written as POSCAR:
```
CrSiGe3
1.0
4.703 0.000 0.000
0.000 4.703 0.000
0.000 0.000 4.703
Ge Si Cr
3 1 1
direct
0.000 0.000 0.500
0.000 0.500 0.000
0.500 0.000 0.000
0.000 0.000 0.000
0.500 0.500 0.500
```

## Properties
Space-group type: Pm-3m (221)
Total magnetization, μB/atom: 0.088
Energy relative to the elements, uncorrected, eV per atom: 1.289
Fermi-level density of states, states/eV per cell: 6.97
Raw total energy, eV/cell: -22.5
Theoretical density, g cm⁻³: 4.76

=====

No. 4
Below is a relaxed structure of Cr2Si2Ge, with properties calculated at the PBE level.

Cell and atoms, written as POSCAR:
```
Cr2Si2Ge
1.0
-6.334 -3.745 -0.065
3.628 -6.165 1.727
-0.321 0.499 2.457
Cr Si Ge
4 4 2
direct
0.850 0.350 0.500
0.350 0.150 0.500
0.650 0.850 0.500
0.150 0.650 0.500
0.858 0.642 0.000
0.142 0.358 0.000
0.642 0.142 0.000
0.358 0.858 0.000
0.000 0.000 0.000
0.500 0.500 0.000
```

## Properties
Space-group type: P4/mbm (127)
Total magnetization, μB/atom: 0.000
Energy relative to the elements, uncorrected, eV per atom: 0.136
Fermi-level density of states, states/eV per cell: 8.47
Raw total energy, eV/cell: -68.1
Theoretical density, g cm⁻³: 5.65